Run w
The following is a PBE-GGA calculation of a relaxed HfHPb crystal, from the Alexandria database.

Cell: 6.221 5.841 5.846 Å, 90.00 90.00 90.00°
Positions (direct):
Hf: 0.118 0.099 0.000
Hf: 0.382 0.099 0.500
Hf: 0.618 0.901 0.000
Hf: 0.882 0.901 0.500
H: 0.099 0.095 0.341
H: 0.401 0.095 0.841
H: 0.599 0.905 0.341
H: 0.901 0.905 0.841
Pb: 0.141 0.605 0.160
Pb: 0.359 0.605 0.660
Pb: 0.641 0.395 0.160
Pb: 0.859 0.395 0.660

Run x
The following is a PBE-GGA calculation of a relaxed HfHPb crystal, from the Alexandria database.

Cell: 3.499 3.499 4.707 Å, 90.00 90.00 120.00°
Positions (direct):
Hf: 0.000 0.000 0.000
H: 0.333 0.667 0.000
Pb: 0.667 0.333 0.500

Run y
The following is a PBE-GGA calculation of a relaxed HfHPb crystal, from the Alexandria database.

Cell: 11.131 11.131 6.284 Å, 91.46 91.46 16.65°
Positions (direct):
Hf: 0.191 0.191 0.367
Hf: 0.191 0.191 0.873
Hf: 0.809 0.809 0.127
Hf: 0.809 0.809 0.633
H: 0.251 0.251 0.623
H: 0.252 0.252 0.127
H: 0.748 0.748 0.873
H: 0.749 0.749 0.377
Pb: 0.068 0.068 0.115
Pb: 0.417 0.417 0.389
Pb: 0.583 0.583 0.611
Pb: 0.932 0.932 0.885

If we sort the structures by their calculated energies, the order from most to least stable is run x, run w, run y.

Run w
The following is a PBE-GGA calculation of a relaxed HfH2Pb2 crystal, from the Alexandria database.

Cell: 6.894 6.894 3.568 Å, 90.00 90.00 90.00°
Positions (direct):
Hf: 0.000 0.000 0.000
Hf: 0.500 0.500 0.000
H: 0.193 0.307 0.000
H: 0.307 0.807 0.000
H: 0.693 0.193 0.000
H: 0.807 0.693 0.000
Pb: 0.157 0.657 0.500
Pb: 0.343 0.157 0.500
Pb: 0.657 0.843 0.500
Pb: 0.843 0.343 0.500

Run x
The following is a PBE-GGA calculation of a relaxed HfH2Pb2 crystal, from the Alexandria database.

Cell: 5.466 5.466 5.466 Å, 129.82 129.82 73.70°
Positions (direct):
Hf: 0.000 0.000 0.000
H: 0.456 0.456 0.000
H: 0.544 0.544 0.000
Pb: 0.250 0.750 0.500
Pb: 0.750 0.250 0.500

If we sort the structures by their calculated energies, the order from most to least stable is run x, run w.